Entry 1:
# PBE-GGA AlSbW2, relaxed
# - relative energy among the computed polymorphs (meV per atom) = 482
data_AlSbW2
_space_group_name_H-M_alt 'I -4 2 d'
_space_group_IT_number 122
_space_group_name_Hall 'I -4 2bw'
_cell_length_a 4.015
_cell_length_b 4.015
_cell_length_c 19.077
_cell_angle_alpha 90.00
_cell_angle_beta 90.00
_cell_angle_gamma 90.00
loop_
_atom_site_label
_atom_site_type_symbol
_atom_site_fract_x
_atom_site_fract_y
_atom_site_fract_z
Al1 Al 0.000 0.000 0.000
Sb1 Sb 0.000 0.000 0.500
W1 W 0.202 0.250 0.125

***

Entry 2:
A plane-wave DFT calculation with PBE-GGA was carried out for an optimized crystal structure of Al2SbW.

```
data_Al2SbW
_space_group_name_H-M_alt 'R 3 m'
_space_group_IT_number 160
_space_group_name_Hall 'R 3 -2"'
_cell_length_a 3.0105
_cell_length_b 3.0105
_cell_length_c 31.1803
_cell_angle_alpha 90.00
_cell_angle_beta 90.00
_cell_angle_gamma 120.00
loop_
_atom_site_label
_atom_site_type_symbol
_atom_site_fract_x
_atom_site_fract_y
_atom_site_fract_z
Al1 Al 0.0000 0.0000 0.0000
Al2 Al 0.0000 0.0000 0.2602
Sb1 Sb 0.0000 0.0000 0.4752
W1 W 0.0000 0.0000 0.7354
```

***

Entry 3:
A plane-wave DFT calculation with PBE-GGA was carried out for an optimized crystal structure of Al2SbW.

```
data_Al2SbW
_space_group_name_H-M_alt 'C m m m'
_space_group_IT_number 65
_space_group_name_Hall '-C 2 2'
_cell_length_a 3.700
_cell_length_b 4.595
_cell_length_c 8.713
_cell_angle_alpha 90.00
_cell_angle_beta 90.00
_cell_angle_gamma 90.00
loop_
_atom_site_label
_atom_site_type_symbol
_atom_site_fract_x
_atom_site_fract_y
_atom_site_fract_z
Al1 Al 0.000 0.000 0.218
Sb1 Sb 0.000 0.500 0.500
W1 W 0.000 0.500 0.000
```

***

Entry 4:
# PBE-GGA AlSb3W, relaxed
# - relative energy among the computed polymorphs (meV per atom) = 690
data_AlSb3W
_space_group_name_H-M_alt 'P m -3 m'
_space_group_IT_number 221
_space_group_name_Hall '-P 4 2 3'
_cell_length_a 5.157
_cell_length_b 5.157
_cell_length_c 5.157
_cell_angle_alpha 90.00
_cell_angle_beta 90.00
_cell_angle_gamma 90.00
loop_
_atom_site_label
_atom_site_type_symbol
_atom_site_fract_x
_atom_site_fract_y
_atom_site_fract_z
Al1 Al 0.000 0.000 0.000
Sb1 Sb 0.000 0.000 0.500
W1 W 0.500 0.500 0.500

***

Entry 5:
A plane-wave DFT calculation with PBE-GGA was carried out for an optimized crystal structure of Al2SbW.

```
data_Al2SbW
_space_group_name_H-M_alt 'P 4/m m m'
_space_group_IT_number 123
_space_group_name_Hall '-P 4 2'
_cell_length_a 3.503
_cell_length_b 3.503
_cell_length_c 5.653
_cell_angle_alpha 90.00
_cell_angle_beta 90.00
_cell_angle_gamma 90.00
loop_
_atom_site_label
_atom_site_type_symbol
_atom_site_fract_x
_atom_site_fract_y
_atom_site_fract_z
Al1 Al 0.000 0.000 0.224
Sb1 Sb 0.500 0.500 0.500
W1 W 0.500 0.500 0.000
```

***

Entry 6:
# PBE-GGA AlSbW2, relaxed
# - relative energy among the computed polymorphs (meV per atom) = 249
data_AlSbW2
_space_group_name_H-M_alt 'C m m 2'
_space_group_IT_number 35
_cell_length_a 3.340
_cell_length_b 4.721
_cell_length_c 9.333
_cell_angle_alpha 90.00
_cell_angle_beta 90.00
_cell_angle_gamma 90.00
loop_
_space_group_symop_operation_xyz
'x,y,z'
'-x,-y,z'
'-x,y,z'
'x,-y,z'
'x+1/2,y+1/2,z'
'-x+1/2,-y+1/2,z'
'-x+1/2,y+1/2,z'
'x+1/2,-y+1/2,z'
loop_
_atom_site_label
_atom_site_type_symbol
_atom_site_fract_x
_atom_site_fract_y
_atom_site_fract_z
Al1 Al 0.000 0.000 0.000
Sb1 Sb 0.000 0.500 0.294
W1 W 0.000 0.000 0.552
W2 W 0.000 0.500 0.776

***

Entry 7:
A plane-wave DFT calculation with PBE-GGA was carried out for an optimized crystal structure of YAlSb.

```
data_YAlSb
_space_group_name_H-M_alt 'P 3 m 1'
_space_group_IT_number 156
_cell_length_a 3.4326
_cell_length_b 3.4326
_cell_length_c 7.4216
_cell_angle_alpha 90.00
_cell_angle_beta 90.00
_cell_angle_gamma 120.00
loop_
_space_group_symop_operation_xyz
'x,y,z'
'-y,x-y,z'
'-x+y,-x,z'
'-y,-x,z'
'-x+y,y,z'
'x,x-y,z'
loop_
_atom_site_label
_atom_site_type_symbol
_atom_site_fract_x
_atom_site_fract_y
_atom_site_fract_z
Y1 Y 0.0000 0.0000 0.0000
Al1 Al 0.3333 0.6667 0.3318
Sb1 Sb 0.6667 0.3333 0.6479
```

***

Entry 8:
# PBE-GGA Y4AlSb, relaxed
# - relative energy among the computed polymorphs (meV per atom) = 0
data_Y4AlSb
_space_group_name_H-M_alt 'F -4 3 m'
_space_group_IT_number 216
_space_group_name_Hall 'F -4 2 3'
_cell_length_a 13.962
_cell_length_b 13.962
_cell_length_c 13.962
_cell_angle_alpha 90.00
_cell_angle_beta 90.00
_cell_angle_gamma 90.00
loop_
_atom_site_label
_atom_site_type_symbol
_atom_site_fract_x
_atom_site_fract_y
_atom_site_fract_z
Y1 Y 0.000 0.000 0.187
Y2 Y 0.057 0.250 0.750
Y3 Y 0.124 0.124 0.376
Al1 Al 0.158 0.158 0.158
Sb1 Sb 0.099 0.099 0.599

***

Entry 9:
A plane-wave DFT calculation with PBE-GGA was carried out for an optimized crystal structure of Y5Al2Sb.

```
data_Y5Al2Sb
_space_group_name_H-M_alt 'I 4/m c m'
_space_group_IT_number 140
_space_group_name_Hall '-I 4 2c'
_cell_length_a 8.013
_cell_length_b 8.013
_cell_length_c 13.530
_cell_angle_alpha 90.00
_cell_angle_beta 90.00
_cell_angle_gamma 90.00
loop_
_atom_site_label
_atom_site_type_symbol
_atom_site_fract_x
_atom_site_fract_y
_atom_site_fract_z
Y1 Y 0.000 0.000 0.000
Y2 Y 0.162 0.338 0.147
Al1 Al 0.129 0.371 0.500
Sb1 Sb 0.000 0.000 0.250
```

***

Entry 10:
A plane-wave DFT calculation with PBE-GGA was carried out for an optimized crystal structure of YAlSb4.

```
data_YAlSb4
_space_group_name_H-M_alt 'F -4 3 m'
_space_group_IT_number 216
_space_group_name_Hall 'F -4 2 3'
_cell_length_a 8.790
_cell_length_b 8.790
_cell_length_c 8.790
_cell_angle_alpha 90.00
_cell_angle_beta 90.00
_cell_angle_gamma 90.00
loop_
_atom_site_label
_atom_site_type_symbol
_atom_site_fract_x
_atom_site_fract_y
_atom_site_fract_z
Y1 Y 0.000 0.000 0.000
Al1 Al 0.250 0.250 0.750
Sb1 Sb 0.125 0.125 0.375
```

***

Entry 11:
A plane-wave DFT calculation with PBE-GGA was carried out for an optimized crystal structure of YAlSb.

```
data_YAlSb
_space_group_name_H-M_alt 'C 1 2/m 1'
_space_group_IT_number 12
_cell_length_a 17.284
_cell_length_b 3.995
_cell_length_c 4.379
_cell_angle_alpha 90.00
_cell_angle_beta 90.07
_cell_angle_gamma 90.00
loop_
_space_group_symop_operation_xyz
'x,y,z'
'-x,-y,-z'
'-x,y,-z'
'x,-y,z'
'x+1/2,y+1/2,z'
'-x+1/2,-y+1/2,-z'
'-x+1/2,y+1/2,-z'
'x+1/2,-y+1/2,z'
loop_
_atom_site_label
_atom_site_type_symbol
_atom_site_fract_x
_atom_site_fract_y
_atom_site_fract_z
Y1 Y 0.114 0.000 0.250
Al1 Al 0.036 0.500 0.750
Sb1 Sb 0.188 0.500 0.750
```

***

Entry 12:
# PBE-GGA YAlSb3, relaxed
# - relative energy among the computed polymorphs (meV per atom) = 320
data_YAlSb3
_space_group_name_H-M_alt 'P m -3 m'
_space_group_IT_number 221
_space_group_name_Hall '-P 4 2 3'
_cell_length_a 5.774
_cell_length_b 5.774
_cell_length_c 5.774
_cell_angle_alpha 90.00
_cell_angle_beta 90.00
_cell_angle_gamma 90.00
loop_
_atom_site_label
_atom_site_type_symbol
_atom_site_fract_x
_atom_site_fract_y
_atom_site_fract_z
Y1 Y 0.000 0.000 0.000
Al1 Al 0.500 0.500 0.500
Sb1 Sb 0.000 0.000 0.500

***

Entry 13:
A plane-wave DFT calculation with PBE-GGA was carried out for an optimized crystal structure of YAlSb.

```
data_YAlSb
_space_group_name_H-M_alt 'I 4 m m'
_space_group_IT_number 107
_space_group_name_Hall 'I 4 -2'
_cell_length_a 3.763
_cell_length_b 3.763
_cell_length_c 10.327
_cell_angle_alpha 90.00
_cell_angle_beta 90.00
_cell_angle_gamma 90.00
loop_
_atom_site_label
_atom_site_type_symbol
_atom_site_fract_x
_atom_site_fract_y
_atom_site_fract_z
Y1 Y 0.000 0.000 0.000
Al1 Al 0.000 0.000 0.690
Sb1 Sb 0.000 0.000 0.311
```

***

Entry 14:
A plane-wave DFT calculation with PBE-GGA was carried out for an optimized crystal structure of Y2Al2Sb.

```
data_Y2Al2Sb
_space_group_name_H-M_alt 'P 4/m b m'
_space_group_IT_number 127
_space_group_name_Hall '-P 4 2ab'
_cell_length_a 7.397
_cell_length_b 7.397
_cell_length_c 4.413
_cell_angle_alpha 90.00
_cell_angle_beta 90.00
_cell_angle_gamma 90.00
loop_
_atom_site_label
_atom_site_type_symbol
_atom_site_fract_x
_atom_site_fract_y
_atom_site_fract_z
Y1 Y 0.172 0.328 0.000
Al1 Al 0.123 0.623 0.500
Sb1 Sb 0.000 0.000 0.500
```

***

Entry 15:
# PBE-GGA Y3AlSb, relaxed
# - relative energy among the computed polymorphs (meV per atom) = 0
data_Y3AlSb
_space_group_name_H-M_alt 'P m -3 m'
_space_group_IT_number 221
_space_group_name_Hall '-P 4 2 3'
_cell_length_a 5.414
_cell_length_b 5.414
_cell_length_c 5.414
_cell_angle_alpha 90.00
_cell_angle_beta 90.00
_cell_angle_gamma 90.00
loop_
_atom_site_label
_atom_site_type_symbol
_atom_site_fract_x
_atom_site_fract_y
_atom_site_fract_z
Y1 Y 0.000 0.000 0.500
Al1 Al 0.000 0.000 0.000
Sb1 Sb 0.500 0.500 0.500

***

Entry 16:
# PBE-GGA Y2AlSb2, relaxed
# - relative energy among the computed polymorphs (meV per atom) = 87
data_Y2AlSb2
_space_group_name_H-M_alt 'P 4/m b m'
_space_group_IT_number 127
_space_group_name_Hall '-P 4 2ab'
_cell_length_a 8.170
_cell_length_b 8.170
_cell_length_c 4.111
_cell_angle_alpha 90.00
_cell_angle_beta 90.00
_cell_angle_gamma 90.00
loop_
_atom_site_label
_atom_site_type_symbol
_atom_site_fract_x
_atom_site_fract_y
_atom_site_fract_z
Y1 Y 0.150 0.350 0.000
Al1 Al 0.000 0.000 0.000
Sb1 Sb 0.159 0.659 0.500

***

Entry 17:
# PBE-GGA Y2AlSb2, relaxed
# - relative energy among the computed polymorphs (meV per atom) = 0
data_Y2AlSb2
_space_group_name_H-M_alt 'P 4/m b m'
_space_group_IT_number 127
_space_group_name_Hall '-P 4 2ab'
_cell_length_a 8.052
_cell_length_b 8.052
_cell_length_c 4.140
_cell_angle_alpha 90.00
_cell_angle_beta 90.00
_cell_angle_gamma 90.00
loop_
_atom_site_label
_atom_site_type_symbol
_atom_site_fract_x
_atom_site_fract_y
_atom_site_fract_z
Y1 Y 0.156 0.344 0.000
Al1 Al 0.000 0.000 0.500
Sb1 Sb 0.150 0.650 0.500

***

Entry 18:
# PBE-GGA YAl2Sb2, relaxed
# - relative energy among the computed polymorphs (meV per atom) = 0
data_YAl2Sb2
_space_group_name_H-M_alt 'I 4/m m m'
_space_group_IT_number 139
_space_group_name_Hall '-I 4 2'
_cell_length_a 3.995
_cell_length_b 3.995
_cell_length_c 15.507
_cell_angle_alpha 90.00
_cell_angle_beta 90.00
_cell_angle_gamma 90.00
loop_
_atom_site_label
_atom_site_type_symbol
_atom_site_fract_x
_atom_site_fract_y
_atom_site_fract_z
Y1 Y 0.000 0.000 0.000
Al1 Al 0.000 0.500 0.250
Sb1 Sb 0.000 0.000 0.399

***

Entry 19:
# PBE-GGA YAl2Sb2, relaxed
# - relative energy among the computed polymorphs (meV per atom) = 12
data_YAl2Sb2
_space_group_name_H-M_alt 'I 4/m m m'
_space_group_IT_number 139
_space_group_name_Hall '-I 4 2'
_cell_length_a 5.392
_cell_length_b 5.392
_cell_length_c 8.729
_cell_angle_alpha 90.00
_cell_angle_beta 90.00
_cell_angle_gamma 90.00
loop_
_atom_site_label
_atom_site_type_symbol
_atom_site_fract_x
_atom_site_fract_y
_atom_site_fract_z
Y1 Y 0.000 0.000 0.000
Al1 Al 0.000 0.000 0.353
Sb1 Sb 0.000 0.500 0.250

***

Entry 20:
# PBE-GGA YAl2Sb2, relaxed
# - relative energy among the computed polymorphs (meV per atom) = 23
data_YAl2Sb2
_space_group_name_H-M_alt 'P 4/m b m'
_space_group_IT_number 127
_space_group_name_Hall '-P 4 2ab'
_cell_length_a 7.772
_cell_length_b 7.772
_cell_length_c 3.888
_cell_angle_alpha 90.00
_cell_angle_beta 90.00
_cell_angle_gamma 90.00
loop_
_atom_site_label
_atom_site_type_symbol
_atom_site_fract_x
_atom_site_fract_y
_atom_site_fract_z
Y1 Y 0.000 0.000 0.000
Al1 Al 0.121 0.379 0.000
Sb1 Sb 0.178 0.678 0.500

***

no.,formation energy without anion corrections (eV/atom)
1,0.6334
2,0.3382
3,0.2558
4,1.4515
5,0.1672
6,0.4006
7,-0.0799
8,-0.5257
9,-0.5424
10,0.1163
11,-0.5889
12,0.4741
13,-0.3924
14,-0.5226
15,-0.1114
16,-0.5633
17,-0.6502
18,-0.2251
19,-0.2128
20,-0.2018